Dy6Tm2ZrSc3 after structural relaxation. Source: the Alexandria database, functional PBE.

Properties
V	341	Å³/f.u.
DFT formation energy	0.061	eV/atom
magnetization	0.00	μB/f.u.

The structure in CIF format:
```
data_Dy6Tm2ZrSc3
_space_group_name_H-M_alt 'C 1 2/m 1'
_space_group_IT_number 12
_space_group_name_Hall '-C 2y'
_cell_length_a 5.9616
_cell_length_b 10.3119
_cell_length_c 11.2737
_cell_angle_alpha 90.00
_cell_angle_beta 100.08
_cell_angle_gamma 90.00
loop_
_atom_site_label
_atom_site_fract_x
_atom_site_fract_y
_atom_site_fract_z
Dy1 0.2433 0.0000 0.2480
Dy2 0.2489 0.1641 0.7531
Tm1 0.0000 0.3331 0.5000
Zr1 0.0000 0.0000 0.5000
Sc1 0.0000 0.1667 0.0000
Sc2 0.0000 0.5000 0.0000
```